Density functional theory data (PBE-GGA) for crystalline CsRb4Br2 at its relaxed geometry.

The structure in POSCAR format:
```
CsRb4Br2
1.0
7.696 0.000 0.000
0.000 7.696 0.000
3.848 3.848 9.971
Br Rb Cs
2 4 1
Direct
0.408 0.408 0.185
0.592 0.592 0.815
0.752 0.752 0.497
0.000 0.500 0.000
0.248 0.248 0.503
0.500 0.000 0.000
0.000 0.000 0.000
```

Calculated values
The energy relative to the elements, uncorrected is -0.558 eV/atom. As for the space-group type: I4/mmm (139).


Density functional theory data (PBE-GGA) for crystalline NaSrLiBi2 at its relaxed geometry.

The structure in POSCAR format:
```
NaSrLiBi2
1.0
-4.085 0.974 3.824
-3.656 -2.723 -3.212
1.307 -4.860 2.633
Bi Sr Na Li
2 1 1 1
Direct
0.000 0.000 0.500
0.500 0.000 0.000
0.000 0.500 0.000
0.000 0.000 0.000
0.500 0.500 0.500
```

Calculated values
The distance to the lowest polymorph of the same formula comes out at 0 meV/atom. Its energy relative to the elements is 0.11 eV/atom. As for the space-group type: P4/mmm (123).


Density functional theory data (PBE-GGA) for crystalline ScTaPtO2 at its relaxed geometry.

The structure in POSCAR format:
```
ScTaPtO2
1.0
-2.404 -0.124 3.082
-1.351 -5.134 -1.260
2.928 -1.318 2.231
Pt O Sc Ta
1 2 1 1
Direct
0.000 0.500 0.000
0.000 0.000 0.500
0.500 0.000 0.000
0.500 0.500 0.500
0.000 0.000 0.000
```

Calculated values
The energy relative to the elements, uncorrected is -1.721 eV/atom. As for the space-group type: P4/mmm (123).


Density functional theory data (PBE-GGA) for crystalline Cr2CuPtN at its relaxed geometry.

The structure in POSCAR format:
```
Cr2CuPtN
1.0
-1.342 -2.859 -2.239
1.217 -2.603 2.594
-3.512 0.201 1.849
Pt Cr N Cu
1 2 1 1
Direct
0.500 0.500 0.500
0.000 0.500 0.000
0.500 0.000 0.000
0.000 0.000 0.000
0.000 0.000 0.500
```

Calculated values
The energy relative to the elements, uncorrected is -0.152 eV/atom. As for the space-group type: P4/mmm (123).


> Number 1 is which compound?

CsRb4Br2